Entry from Alexandria: an optimized crystal structure of Zr2Te (PBE-GGA).

N(E_F)	1.17	states/eV/atom
M_tot	0.000	μB per atom
raw total energy	-40.2	eV per cell
formation energy without anion corrections	0.044	eV per atom
symmetry	Fd-3m (227)

Cell lengths 5.8834, 5.8834, 5.8834 Å; angles 60.00, 60.00, 60.00 degrees
Fractional coordinates of all 6 atoms:
Zr  0.0000  0.0000  0.0000
Zr  0.0000  0.0000  0.5000
Zr  0.0000  0.5000  0.0000
Zr  0.5000  0.0000  0.0000
Te  0.3750  0.3750  0.3750
Te  0.6250  0.6250  0.6250